# 1
An optimized crystal structure of Sr2GdTl, computed with PBE-GGA.

Unit cell a=3.923 b=3.923 c=10.021 alpha=90.00 beta=90.00 gamma=90.00
Fractional coordinates of all 4 atoms:
Sr (0.000, 0.000, 0.217)
Sr (0.000, 0.000, 0.783)
Gd (0.500, 0.500, 0.500)
Tl (0.500, 0.500, 0.000)

Space-group type   P4/mmm, No. 123

# 2
An optimized crystal structure of Nd14TmMg, computed with PBE-GGA.

Unit cell a=10.331 b=7.268 c=7.268 alpha=90.00 beta=90.00 gamma=90.00
Fractional coordinates of all 16 atoms:
Nd (0.000, 0.000, 0.000)
Nd (0.000, 0.500, 0.500)
Nd (0.000, 0.500, 0.999)
Nd (0.000, 0.999, 0.500)
Nd (0.253, 0.250, 0.250)
Nd (0.253, 0.250, 0.750)
Nd (0.253, 0.750, 0.250)
Nd (0.254, 0.750, 0.750)
Nd (0.500, 0.001, 0.499)
Nd (0.500, 0.499, 0.001)
Nd (0.746, 0.750, 0.750)
Nd (0.747, 0.250, 0.250)
Nd (0.747, 0.250, 0.750)
Nd (0.747, 0.750, 0.250)
Tm (0.500, 0.000, 0.000)
Mg (0.500, 0.500, 0.500)

Space-group type   Amm2, No. 38

# 3
An optimized crystal structure of As2OsPdRh, computed with PBE-GGA.

Unit cell a=4.579 b=4.579 c=4.910 alpha=90.00 beta=90.00 gamma=90.00
Fractional coordinates of all 5 atoms:
As (0.000, 0.500, 0.000)
As (0.500, 0.000, 0.000)
Os (0.000, 0.000, 0.500)
Pd (0.500, 0.500, 0.000)
Rh (0.500, 0.500, 0.500)

Space-group type   P4/mmm, No. 123

# 4
An optimized crystal structure of ZrTcSbPd, computed with PBE-GGA.

Unit cell a=4.666 b=4.666 c=4.666 alpha=60.00 beta=60.00 gamma=60.00
Fractional coordinates of all 4 atoms:
Zr (0.000, 0.000, 0.000)
Tc (0.250, 0.250, 0.250)
Sb (0.500, 0.500, 0.500)
Pd (0.750, 0.750, 0.750)

Space-group type   F-43m, No. 216
Raw formation energy   -0.298 eV per atom

Number 1: total DFT energy (no corrections) -0.3704 Ry/atom. Number 2: total DFT energy (no corrections) -0.3340 Ry/atom. Number 3: total DFT energy (no corrections) -0.3693 Ry/atom. Number 4: total DFT energy (no corrections) -0.5406 Ry/atom.